Arrangement A

## NaYGePt (PBE)

Data for a relaxed NaYGePt crystal.

Lattice parameters (Å, degrees): 4.7597 4.7597 4.7597 60.00 60.00 60.00
Last column: nearest neighbours and their distance in Å.
Atoms (fractional coordinates):
Y  0.0000  0.0000  0.0000  4 Na 2.91, 4 Pt 2.91
Ge  0.5000  0.5000  0.5000  4 Pt 2.91, 4 Na 2.91
Na  0.7500  0.7500  0.7500  4 Y 2.91, 4 Ge 2.91
Pt  0.2500  0.2500  0.2500  4 Ge 2.91, 4 Y 2.91

Results
Calculated volume (Å³ per cell): 76.2
Space-group type: F-43m, No. 216



Arrangement B

## NaYGePt (PBE)

Data for a relaxed NaYGePt crystal.

Lattice parameters (Å, degrees): 4.8872 4.8872 4.8872 60.00 60.00 60.00
Last column: nearest neighbours and their distance in Å.
Atoms (fractional coordinates):
Y  0.2500  0.2500  0.2500  4 Ge 2.99, 4 Pt 2.99
Ge  0.0000  0.0000  0.0000  4 Na 2.99, 4 Y 2.99
Na  0.7500  0.7500  0.7500  4 Ge 2.99, 4 Pt 2.99
Pt  0.5000  0.5000  0.5000  4 Na 2.99, 4 Y 2.99

Results
Calculated volume (Å³ per cell): 82.5
Space-group type: F-43m, No. 216



Tell me which of them is the most stable. Sure, it is arrangement A.



Arrangement A

## NaReGeTe (PBE)

Data for a relaxed NaReGeTe crystal.

Lattice parameters (Å, degrees): 4.7979 4.7979 4.7979 60.00 60.00 60.00
Last column: nearest neighbours and their distance in Å.
Atoms (fractional coordinates):
Ge  0.0000  0.0000  0.0000  4 Te 2.94, 4 Na 2.94
Te  0.2500  0.2500  0.2500  4 Ge 2.94, 4 Re 2.94
Re  0.5000  0.5000  0.5000  4 Na 2.94, 4 Te 2.94
Na  0.7500  0.7500  0.7500  4 Re 2.94, 4 Ge 2.94

Results
Calculated volume (Å³ per cell): 78.1
Space-group type: F-43m, No. 216



Arrangement B

## NaReGeTe (PBE)

Data for a relaxed NaReGeTe crystal.

Lattice parameters (Å, degrees): 4.6786 4.6786 4.6786 60.00 60.00 60.00
Last column: nearest neighbours and their distance in Å.
Atoms (fractional coordinates):
Ge  0.5000  0.5000  0.5000  4 Na 2.87, 4 Re 2.87
Re  0.2500  0.2500  0.2500  4 Te 2.87, 4 Ge 2.87
Te  0.0000  0.0000  0.0000  4 Re 2.87, 4 Na 2.87
Na  0.7500  0.7500  0.7500  4 Te 2.87, 4 Ge 2.87

Results
Calculated volume (Å³ per cell): 72.4
Space-group type: F-43m, No. 216



Tell me which of them is the most stable. Sure, it is arrangement B.



Arrangement A

## NaReGeW (PBE)

Data for a relaxed NaReGeW crystal.

Lattice parameters (Å, degrees): 4.4389 4.4389 4.4389 60.00 60.00 60.00
Last column: nearest neighbours and their distance in Å.
Atoms (fractional coordinates):
W  0.0000  0.0000  0.0000  4 Na 2.72, 4 Re 2.72
Na  0.7500  0.7500  0.7500  4 W 2.72, 4 Ge 2.72
Ge  0.5000  0.5000  0.5000  4 Na 2.72, 4 Re 2.72
Re  0.2500  0.2500  0.2500  4 Ge 2.72, 4 W 2.72

Results
Calculated volume (Å³ per cell): 61.8
Space-group type: F-43m, No. 216



Arrangement B

## NaReGeW (PBE)

Data for a relaxed NaReGeW crystal.

Lattice parameters (Å, degrees): 4.4582 4.4582 4.4582 60.00 60.00 60.00
Last column: nearest neighbours and their distance in Å.
Atoms (fractional coordinates):
W  0.2500  0.2500  0.2500  4 Re 2.73, 4 Ge 2.73
Na  0.7500  0.7500  0.7500  4 Re 2.73, 4 Ge 2.73
Ge  0.0000  0.0000  0.0000  4 W 2.73, 4 Na 2.73
Re  0.5000  0.5000  0.5000  4 W 2.73, 4 Na 2.73

Results
Calculated volume (Å³ per cell): 62.7
Space-group type: F-43m, No. 216



Tell me which of them is the most stable. Sure, it is arrangement A.



Arrangement A

## NaTcGeTe (PBE)

Data for a relaxed NaTcGeTe crystal.

Lattice parameters (Å, degrees): 4.6879 4.6879 4.6879 60.00 60.00 60.00
Last column: nearest neighbours and their distance in Å.
Atoms (fractional coordinates):
Tc  0.2500  0.2500  0.2500  4 Te 2.87, 4 Ge 2.87
Te  0.5000  0.5000  0.5000  4 Na 2.87, 4 Tc 2.87
Ge  0.0000  0.0000  0.0000  4 Na 2.87, 4 Tc 2.87
Na  0.7500  0.7500  0.7500  4 Te 2.87, 4 Ge 2.87

Results
Calculated volume (Å³ per cell): 72.9
Space-group type: F-43m, No. 216



Arrangement B

## NaTcGeTe (PBE)

Data for a relaxed NaTcGeTe crystal.

Lattice parameters (Å, degrees): 4.8257 4.8257 4.8257 60.00 60.00 60.00
Last column: nearest neighbours and their distance in Å.
Atoms (fractional coordinates):
Na  0.7500  0.7500  0.7500  4 Tc 2.96, 4 Ge 2.96
Te  0.2500  0.2500  0.2500  4 Ge 2.96, 4 Tc 2.96
Ge  0.5000  0.5000  0.5000  4 Na 2.96, 4 Te 2.96
Tc  0.0000  0.0000  0.0000  4 Na 2.96, 4 Te 2.96

Results
Calculated volume (Å³ per cell): 79.5
Space-group type: F-43m, No. 216



Tell me which of them is the most stable. Sure, it is arrangement A.



Arrangement A

## NaTcGeW (PBE)

Data for a relaxed NaTcGeW crystal.

Lattice parameters (Å, degrees): 4.4576 4.4576 4.4576 60.00 60.00 60.00
Last column: nearest neighbours and their distance in Å.
Atoms (fractional coordinates):
Ge  0.0000  0.0000  0.0000  4 W 2.73, 4 Na 2.73
W  0.2500  0.2500  0.2500  4 Ge 2.73, 4 Tc 2.73
Tc  0.5000  0.5000  0.5000  4 Na 2.73, 4 W 2.73
Na  0.7500  0.7500  0.7500  4 Tc 2.73, 4 Ge 2.73

Results
Calculated volume (Å³ per cell): 62.6
Space-group type: F-43m, No. 216



Arrangement B

## NaTcGeW (PBE)

Data for a relaxed NaTcGeW crystal.

Lattice parameters (Å, degrees): 4.4300 4.4300 4.4300 60.00 60.00 60.00
Last column: nearest neighbours and their distance in Å.
Atoms (fractional coordinates):
Ge  0.5000  0.5000  0.5000  4 Na 2.71, 4 Tc 2.71
Tc  0.2500  0.2500  0.2500  4 Ge 2.71, 4 W 2.71
W  0.0000  0.0000  0.0000  4 Tc 2.71, 4 Na 2.71
Na  0.7500  0.7500  0.7500  4 Ge 2.71, 4 W 2.71

Results
Calculated volume (Å³ per cell): 61.5
Space-group type: F-43m, No. 216



Tell me which of them is the most stable. Sure, it is arrangement B.



Arrangement A

## Nb3Ge (PBE)

Data for a relaxed Nb3Ge crystal.

Lattice parameters (Å, degrees): 5.1757 5.1757 5.1746 90.00 90.00 90.00
Last column: nearest neighbours and their distance in Å.
Atoms (fractional coordinates):
Nb  0.5000  0.7502  0.5000  2 Nb 2.59, 4 Ge 2.89
Nb  0.7502  0.5000  0.0000  2 Nb 2.59, 4 Ge 2.89
Nb  0.0000  0.0000  0.2500  2 Nb 2.59, 4 Ge 2.89
Nb  0.2498  0.5000  0.0000  2 Nb 2.59, 4 Ge 2.89
Nb  0.0000  0.0000  0.7500  2 Nb 2.59, 4 Ge 2.89
Nb  0.5000  0.2498  0.5000  2 Nb 2.59, 4 Ge 2.89
Ge  0.0000  0.5000  0.5000  12 Nb 2.89
Ge  0.5000  0.0000  0.0000  12 Nb 2.89

Results
Calculated volume (Å³ per cell): 138.6
Space-group type: Pm-3n, No. 223



Arrangement B

## Nb3Ge (PBE)

Data for a relaxed Nb3Ge crystal.

Lattice parameters (Å, degrees): 10.3550 10.3550 5.2768 90.00 90.00 90.00
Last column: nearest neighbours and their distance in Å.
Atoms (fractional coordinates):
Ge  0.7046  0.4724  0.7164  9 Nb 2.62-2.89
Ge  0.9724  0.7954  0.2164  9 Nb 2.62-2.89
Ge  0.5276  0.7046  0.2836  9 Nb 2.62-2.89
Ge  0.2046  0.9724  0.7836  9 Nb 2.62-2.89
Ge  0.0276  0.2046  0.2164  9 Nb 2.62-2.89
Ge  0.4724  0.2954  0.2836  9 Nb 2.62-2.89
Ge  0.2954  0.5276  0.7164  9 Nb 2.62-2.89
Ge  0.7954  0.0276  0.7836  9 Nb 2.62-2.89
Nb  0.2872  0.1899  0.0150  3 Ge 2.62-2.89, 3 Nb 2.88-2.93
Nb  0.5840  0.0963  0.0362  1 Nb 2.65, 2 Ge 2.66-2.70
Nb  0.9833  0.8514  0.7205  4 Ge 2.63-2.72, 2 Nb 2.91-2.93
Nb  0.0963  0.4160  0.9638  1 Nb 2.65, 2 Ge 2.66-2.70
Nb  0.8101  0.2872  0.9850  3 Ge 2.62-2.89, 3 Nb 2.88-2.93
Nb  0.2128  0.3101  0.4850  3 Ge 2.62-2.89, 3 Nb 2.88-2.93
Nb  0.4160  0.9037  0.0362  1 Nb 2.65, 2 Ge 2.66-2.70
Nb  0.3514  0.5167  0.2205  4 Ge 2.63-2.72, 2 Nb 2.91-2.93
Nb  0.5963  0.9160  0.5362  1 Nb 2.65, 2 Ge 2.66-2.70
Nb  0.7872  0.6899  0.4850  3 Ge 2.62-2.89, 3 Nb 2.88-2.93
Nb  0.0840  0.5963  0.4638  1 Nb 2.65, 2 Ge 2.66-2.70
Nb  0.6899  0.2128  0.5150  3 Ge 2.62-2.89, 3 Nb 2.88-2.93
Nb  0.1899  0.7128  0.9850  3 Ge 2.62-2.89, 3 Nb 2.88-2.93
Nb  0.4037  0.0840  0.5362  1 Nb 2.65, 2 Ge 2.66-2.70
Nb  0.6486  0.4833  0.2205  4 Ge 2.63-2.72, 2 Nb 2.91-2.93
Nb  0.8514  0.0167  0.2795  4 Ge 2.63-2.72, 2 Nb 2.91-2.93
Nb  0.5167  0.6486  0.7795  4 Ge 2.63-2.72, 2 Nb 2.91-2.93
Nb  0.4833  0.3514  0.7795  4 Ge 2.63-2.72, 2 Nb 2.91-2.93
Nb  0.1486  0.9833  0.2795  4 Ge 2.63-2.72, 2 Nb 2.91-2.93
Nb  0.9160  0.4037  0.4638  1 Nb 2.65, 2 Ge 2.66-2.70
Nb  0.0167  0.1486  0.7205  4 Ge 2.63-2.72, 2 Nb 2.91-2.93
Nb  0.7128  0.8101  0.0150  3 Ge 2.62-2.89, 3 Nb 2.88-2.93
Nb  0.9037  0.5840  0.9638  1 Nb 2.65, 2 Ge 2.66-2.70
Nb  0.3101  0.7872  0.5150  3 Ge 2.62-2.89, 3 Nb 2.88-2.93

Results
Calculated volume (Å³ per cell): 565.8
Space-group type: P4_2/n, No. 86



Arrangement C

## Nb3Ge (PBE)

Data for a relaxed Nb3Ge crystal.

Lattice parameters (Å, degrees): 7.7844 7.7844 7.7844 96.68 96.68 140.11
Last column: nearest neighbours and their distance in Å.
Atoms (fractional coordinates):
Nb  0.7500  0.2500  0.5000  2 Nb 2.66, 4 Ge 2.71
Nb  0.5811  0.7288  0.3098  4 Ge 2.75-3.01, 3 Nb 2.78-2.84
Nb  0.2712  0.5811  0.8523  4 Ge 2.75-3.01, 3 Nb 2.78-2.84
Nb  0.2288  0.0811  0.3098  4 Ge 2.75-3.01, 3 Nb 2.78-2.84
Nb  0.7288  0.4189  0.1477  4 Ge 2.75-3.01, 3 Nb 2.78-2.84
Nb  0.2500  0.7500  0.5000  2 Nb 2.66, 4 Ge 2.71
Nb  0.7500  0.7500  0.0000  10 Nb 2.66-2.84
Nb  0.2500  0.2500  0.0000  10 Nb 2.66-2.84
Nb  0.4189  0.2712  0.6902  4 Ge 2.75-3.01, 3 Nb 2.78-2.84
Nb  0.9189  0.2288  0.1477  4 Ge 2.75-3.01, 3 Nb 2.78-2.84
Nb  0.0811  0.7712  0.8523  4 Ge 2.75-3.01, 3 Nb 2.78-2.84
Nb  0.7712  0.9189  0.6902  4 Ge 2.75-3.01, 3 Nb 2.78-2.84
Ge  0.1615  0.3385  0.5000  10 Nb 2.71-3.01
Ge  0.3385  0.8385  0.1770  10 Nb 2.71-3.01
Ge  0.6615  0.1615  0.8230  10 Nb 2.71-3.01
Ge  0.8385  0.6615  0.5000  10 Nb 2.71-3.01

Results
Calculated volume (Å³ per cell): 284.4
Space-group type: I4/mcm, No. 140



Tell me which of them is the most stable. Sure, it is arrangement B.



Arrangement A

## Nb2Ge2O5 (PBE)

Data for a relaxed Nb2Ge2O5 crystal.

Lattice parameters (Å, degrees): 7.3969 4.0016 4.0016 90.00 90.00 90.00
Last column: nearest neighbours and their distance in Å.
Atoms (fractional coordinates):
Ge  0.5000  0.0000  0.0000  12 O 2.77-2.83
Ge  0.0000  0.0000  0.0000  8 O 2.68
Nb  0.2220  0.5000  0.5000  5 O 2.01-2.06
Nb  0.7780  0.5000  0.5000  5 O 2.01-2.06
O  0.7585  0.0000  0.5000  2 Nb 2.01
O  0.7585  0.5000  0.0000  2 Nb 2.01
O  0.2415  0.0000  0.5000  2 Nb 2.01
O  0.5000  0.5000  0.5000  2 Nb 2.06
O  0.2415  0.5000  0.0000  2 Nb 2.01

Results
Calculated volume (Å³ per cell): 118.4
Space-group type: P4/mmm, No. 123



Arrangement B

## Nb2Ge2O5 (PBE)

Data for a relaxed Nb2Ge2O5 crystal.

Lattice parameters (Å, degrees): 5.9928 4.0351 4.0351 90.00 90.00 90.00
Last column: nearest neighbours and their distance in Å.
Atoms (fractional coordinates):
O  0.7693  0.5000  0.0000  2 Ge 2.03
O  0.2307  0.0000  0.5000  2 Ge 2.03
O  0.2307  0.5000  0.0000  2 Ge 2.03
O  0.7693  0.0000  0.5000  2 Ge 2.03
O  0.5000  0.5000  0.5000  2 Ge 1.79
Ge  0.2009  0.5000  0.5000  1 O 1.79
Ge  0.7991  0.5000  0.5000  1 O 1.79
Nb  0.5000  0.0000  0.0000  12 O 2.58-2.85
Nb  0.0000  0.0000  0.0000  8 O 2.45

Results
Calculated volume (Å³ per cell): 97.6
Space-group type: P4/mmm, No. 123



Tell me which of them is the most stable. Sure, it is arrangement A.



Arrangement A

## NbGePb (PBE)

Data for a relaxed NbGePb crystal.

Lattice parameters (Å, degrees): 4.8147 4.8147 4.8147 60.00 60.00 60.00
Last column: nearest neighbours and their distance in Å.
Atoms (fractional coordinates):
Pb  0.7500  0.7500  0.7500  4 Nb 2.95, 4 Ge 2.95
Ge  0.0000  0.0000  0.0000  4 Pb 2.95
Nb  0.5000  0.5000  0.5000  4 Pb 2.95

Results
Calculated volume (Å³ per cell): 78.9
Space-group type: F-43m, No. 216



Arrangement B

## NbGePb (PBE)

Data for a relaxed NbGePb crystal.

Lattice parameters (Å, degrees): 4.6967 4.6967 4.6967 60.00 60.00 60.00
Last column: nearest neighbours and their distance in Å.
Atoms (fractional coordinates):
Ge  0.2500  0.2500  0.2500  4 Nb 2.88
Pb  0.7500  0.7500  0.7500  4 Nb 2.88
Nb  0.0000  0.0000  0.0000  4 Ge 2.88, 4 Pb 2.88

Results
Calculated volume (Å³ per cell): 73.3
Space-group type: F-43m, No. 216



Tell me which of them is the most stable. Sure, it is arrangement B.